Below is a relaxed NiMoBr crystal, with properties calculated at the GGA-PBE level.

Cell lengths 4.232, 4.232, 4.232 Å; angles 60.00, 60.00, 60.00 degrees
Atoms (fractional coordinates):
Br 0.500 0.500 0.500
Mo 0.750 0.750 0.750
Ni 0.000 0.000 0.000

Calculated values
VASP energy: -0.1933 Ha/atom
ΔE to the lowest computed polymorph: 1.10 eV/f.u.
Raw formation energy: 0.836 eV/atom
Density of states at the Fermi level: 3.21 states/eV/cell

Below is a relaxed Tc2OsN crystal, with properties calculated at the GGA-PBE level.

Cell lengths 5.050, 5.050, 6.115 Å; angles 65.61, 65.61, 90.00 degrees
Atoms (fractional coordinates):
Os 0.000 0.000 0.000
Os 0.750 0.250 0.500
Tc 0.550 0.125 0.250
Tc 0.200 0.625 0.250
Tc 0.375 0.450 0.750
Tc 0.875 0.800 0.750
N 0.500 0.500 0.000
N 0.250 0.750 0.500

Calculated values
VASP energy: -0.3524 Ha/atom
Raw formation energy: 0.483 eV/atom
Density of states at the Fermi level: 7.01 states/eV/cell

We obtain total moment values of 0.684; 0.000 μB per formula unit for the records listed above, in that order.